# Th4Sc

Crystalline Th4Sc at its relaxed geometry (GGA-PBE, Alexandria).

Values from the calculation:
ρ: 10.5 g cm⁻³
formation enthalpy at 0 K: 0.09 eV per atom
relative energy among the computed polymorphs: 61 meV/atom
SG: I4/m, No. 87
volume: 30.659 Å³ per atom

Cell lengths 6.752, 6.752, 6.752 Å; angles 94.13, 94.13, 148.86 degrees
Fractional positions:
Th1 0.091 0.710 0.801
Th2 0.290 0.091 0.382
Th3 0.710 0.909 0.618
Th4 0.909 0.290 0.199
Sc1 0.500 0.500 0.000